[1]
# ZnInO2

A relaxed ZnInO2 crystal (GGA-PBE, the Alexandria database).

Structure (POSCAR):
```
ZnInO2
1.0
0.000 2.885 2.885
2.885 0.000 2.885
2.885 2.885 0.000
Zn O In
1 2 1
Direct
0.000 0.000 0.000 Zn
0.250 0.250 0.250 O
0.750 0.750 0.750 O
0.500 0.500 0.500 In
```

Computed properties:
* spin magnetization: 0.0 μB per cell
* E: -3.99 eV per atom
* raw formation energy: -0.508 eV per atom
* E above lowest polymorph: 695.3 meV per atom

---

[2]
# ZnInO

A relaxed ZnInO crystal (GGA-PBE, the Alexandria database).

Structure (POSCAR):
```
ZnInO
1.0
3.368 -0.004 0.000
-1.661 5.425 -0.025
-1.658 -0.930 5.792
Zn In O
2 2 2
Direct
0.401 0.679 0.291 Zn
0.289 0.174 0.573 Zn
0.095 0.582 0.781 In
0.509 0.129 0.041 In
0.048 0.801 0.467 O
0.203 0.301 0.264 O
```

Computed properties:
* spin magnetization: 0.0 μB per cell
* E: -3.72 eV per atom
* raw formation energy: -0.732 eV per atom
* E above lowest polymorph: 43.6 meV per atom

---

[3]
# ZnInO

A relaxed ZnInO crystal (GGA-PBE, the Alexandria database).

Structure (POSCAR):
```
ZnInO
1.0
4.626 0.000 0.000
0.000 5.751 0.000
0.000 0.000 7.634
Zn In O
4 4 4
Direct
0.290 0.000 0.250 Zn
0.210 0.000 0.750 Zn
0.710 0.500 0.250 Zn
0.790 0.500 0.750 Zn
0.250 0.493 0.000 In
0.250 0.507 0.500 In
0.750 0.007 0.000 In
0.750 0.993 0.500 In
0.000 0.250 0.336 O
0.000 0.750 0.164 O
0.500 0.250 0.664 O
0.500 0.750 0.836 O
```

Computed properties:
* spin magnetization: 0.0 μB per cell
* E: -3.62 eV per atom
* raw formation energy: -0.629 eV per atom
* E above lowest polymorph: 147.0 meV per atom

---

[4]
# ZnInO

A relaxed ZnInO crystal (GGA-PBE, the Alexandria database).

Structure (POSCAR):
```
ZnInO
1.0
7.714 0.000 -0.012
0.000 3.289 0.000
-7.375 0.000 8.307
Zn In O
4 4 4
Direct
0.495 0.000 0.573 Zn
0.495 0.500 0.073 Zn
0.162 0.000 0.131 Zn
0.162 0.500 0.631 Zn
0.919 0.000 0.268 In
0.919 0.500 0.768 In
0.679 0.000 0.903 In
0.679 0.500 0.403 In
0.203 0.000 0.540 O
0.203 0.500 0.040 O
0.453 0.000 0.372 O
0.453 0.500 0.872 O
```

Computed properties:
* spin magnetization: 0.0 μB per cell
* E: -3.71 eV per atom
* raw formation energy: -0.721 eV per atom
* E above lowest polymorph: 55.0 meV per atom

---

[5]
# ZnInO3

A relaxed ZnInO3 crystal (GGA-PBE, the Alexandria database).

Structure (POSCAR):
```
ZnInO3
1.0
-2.918 -1.085 2.192
0.317 -3.552 -1.336
2.426 -0.841 2.813
Zn O In
1 3 1
Direct
0.000 0.000 0.000 Zn
0.000 0.500 0.000 O
0.000 0.000 0.500 O
0.500 0.000 0.000 O
0.500 0.500 0.500 In
```

Computed properties:
* spin magnetization: 0.0 μB per cell
* E: -4.33 eV per atom
* raw formation energy: -0.553 eV per atom

---

[6]
# ZnInO

A relaxed ZnInO crystal (GGA-PBE, the Alexandria database).

Structure (POSCAR):
```
ZnInO
1.0
3.294 0.001 0.005
-1.643 2.880 -0.015
-0.033 -1.867 5.436
Zn In O
1 1 1
Direct
0.843 0.345 0.985 Zn
0.328 0.321 0.441 In
0.472 0.605 0.869 O
```

Computed properties:
* spin magnetization: 0.0 μB per cell
* E: -3.76 eV per atom
* raw formation energy: -0.768 eV per atom
* E above lowest polymorph: 7.9 meV per atom